Record 1
Computed, not measured: an optimized crystal structure of BaRhI at the PBE level of DFT.

Calculated values
As for the formation energy from raw total energies: -0.629 eV/atom. The total magnetization is 0.00 μB/f.u. The calculated total energy is -25.42 eV for the cell shown.

Cell: 8.684 8.684 4.646 Å, 105.42 105.42 31.03°
Sites, in units of the cell vectors:
Ba: 0.000 0.000 0.000
Ba: 0.250 0.250 0.751
Rh: 0.416 0.416 0.417
Rh: 0.666 0.666 0.165
I: 0.584 0.584 0.583
I: 0.834 0.834 0.335


Record 2
Computed, not measured: an optimized crystal structure of BaRhI3 at the PBE level of DFT.

Calculated values
Its polymorph energy (0 for the lowest one) is 4.39 eV per formula unit. As for the formation energy from raw total energies: 0.038 eV/atom. The total magnetization is 2.00 μB/f.u. The calculated total energy is -13.73 eV for the cell shown.

Cell: 6.696 6.696 6.696 Å, 90.00 90.00 90.00°
Sites, in units of the cell vectors:
Ba: 0.000 0.000 0.000
Rh: 0.500 0.500 0.500
I: 0.000 0.000 0.500
I: 0.000 0.500 0.000
I: 0.500 0.000 0.000


Record 3
Computed, not measured: an optimized crystal structure of Ba2RhI at the PBE level of DFT.

Calculated values
Its polymorph energy (0 for the lowest one) is 0.67 eV per formula unit. As for the formation energy from raw total energies: -0.611 eV/atom. The total magnetization is 0.00 μB/f.u. The calculated total energy is -30.39 eV for the cell shown.

Cell: 7.742 7.742 7.742 Å, 113.80 113.80 101.13°
Sites, in units of the cell vectors:
Ba: 0.061 0.625 0.936
Ba: 0.375 0.311 0.436
Ba: 0.689 0.125 0.064
Ba: 0.875 0.939 0.564
Rh: 0.000 0.000 0.000
Rh: 0.750 0.250 0.500
I: 0.250 0.750 0.500
I: 0.500 0.500 0.000


Record 4
Computed, not measured: an optimized crystal structure of Ba8Rh2I at the PBE level of DFT.

Calculated values
As for the formation energy from raw total energies: -0.327 eV/atom. The total magnetization is 0.00 μB/f.u. The calculated total energy is -35.23 eV for the cell shown.

Cell: 7.693 9.288 9.487 Å, 60.78 86.73 89.98°
Sites, in units of the cell vectors:
Ba: 0.171 0.402 0.190
Ba: 0.171 0.909 0.190
Ba: 0.304 0.380 0.738
Ba: 0.323 0.860 0.779
Ba: 0.677 0.140 0.221
Ba: 0.696 0.620 0.262
Ba: 0.829 0.091 0.810
Ba: 0.829 0.598 0.810
Rh: 0.002 0.258 0.985
Rh: 0.998 0.742 0.015
I: 0.000 0.000 0.500


Record 5
Computed, not measured: an optimized crystal structure of Ba4RhI3 at the PBE level of DFT.

Calculated values
Its polymorph energy (0 for the lowest one) is 0.00 eV per formula unit. As for the formation energy from raw total energies: -1.101 eV/atom. The total magnetization is 0.00 μB/f.u. The calculated total energy is -57.00 eV for the cell shown.

Cell: 9.123 10.162 8.200 Å, 90.00 109.14 90.00°
Sites, in units of the cell vectors:
Ba: 0.198 0.102 0.492
Ba: 0.198 0.898 0.992
Ba: 0.218 0.324 0.962
Ba: 0.218 0.676 0.462
Ba: 0.782 0.324 0.538
Ba: 0.782 0.676 0.038
Ba: 0.802 0.102 0.008
Ba: 0.802 0.898 0.508
Rh: 0.000 0.123 0.750
Rh: 0.000 0.877 0.250
I: 0.000 0.398 0.250
I: 0.000 0.602 0.750
I: 0.500 0.120 0.250
I: 0.500 0.381 0.750
I: 0.500 0.619 0.250
I: 0.500 0.880 0.750


Record 6
Computed, not measured: an optimized crystal structure of Ba6RhI8 at the PBE level of DFT.

Calculated values
As for the formation energy from raw total energies: -1.366 eV/atom. The total magnetization is 1.00 μB/f.u. The calculated total energy is -103.54 eV for the cell shown.

Cell: 11.047 10.362 13.310 Å, 90.00 90.00 90.00°
Sites, in units of the cell vectors:
Ba: 0.000 0.032 0.000
Ba: 0.000 0.083 0.654
Ba: 0.000 0.584 0.992
Ba: 0.000 0.668 0.350
Ba: 0.245 0.802 0.782
Ba: 0.255 0.198 0.282
Ba: 0.500 0.332 0.850
Ba: 0.500 0.416 0.492
Ba: 0.500 0.917 0.154
Ba: 0.500 0.968 0.500
Ba: 0.745 0.198 0.282
Ba: 0.755 0.802 0.782
Rh: 0.000 0.844 0.847
Rh: 0.500 0.156 0.347
I: 0.000 0.309 0.436
I: 0.000 0.311 0.850
I: 0.180 0.885 0.200
I: 0.186 0.850 0.517
I: 0.199 0.502 0.186
I: 0.301 0.498 0.686
I: 0.314 0.150 0.017
I: 0.320 0.115 0.700
I: 0.500 0.689 0.350
I: 0.500 0.691 0.936
I: 0.680 0.115 0.700
I: 0.686 0.150 0.017
I: 0.699 0.498 0.686
I: 0.801 0.502 0.186
I: 0.814 0.850 0.517
I: 0.820 0.885 0.200